Entry 1:
First-principles (GGA-PBE) data for AcEuHoMg after structural relaxation, as listed in the Alexandria database.

It has space group F-43m (No. 216), with a = 8.2255 Å, b = 8.2255 Å, c = 8.2255 Å, α = 90.00°, β = 90.00° and γ = 90.00°. The inequivalent atoms are Ac at (0.0000, 0.0000, 0.0000), Eu at (0.2500, 0.2500, 0.7500), Ho at (0.2500, 0.2500, 0.2500) and Mg at (0.0000, 0.0000, 0.5000).

The total energy comes out at -80.19 eV per cell.

***

Entry 2:
First-principles (GGA-PBE) data for SrLuZnAu after structural relaxation, as listed in the Alexandria database.

It has space group F-43m (No. 216), with a = 7.3485 Å, b = 7.3485 Å, c = 7.3485 Å, α = 90.00°, β = 90.00° and γ = 90.00°. The inequivalent atoms are Sr at (0.0000, 0.0000, 0.0000), Lu at (0.0000, 0.0000, 0.5000), Zn at (0.2500, 0.2500, 0.2500) and Au at (0.2500, 0.2500, 0.7500).

The total energy comes out at -49.88 eV per cell.

***

Entry 3:
First-principles (GGA-PBE) data for YCo12B6 after structural relaxation, as listed in the Alexandria database.

It has space group R-3m (No. 166, hexagonal axes), with a = 9.3825 Å, b = 9.3825 Å, c = 7.4091 Å, α = 90.00°, β = 90.00° and γ = 120.00°. The inequivalent atoms are Y at (0.0000, 0.0000, 0.0000), Co at (0.0000, 0.3677, 0.5000), Co at (0.0900, 0.1800, 0.3664) and B at (0.0366, 0.5183, 0.2856).

The total energy comes out at -415.19 eV per cell.

***

Entry 4:
First-principles (GGA-PBE) data for NaMnBr4 after structural relaxation, as listed in the Alexandria database.

It has space group P2/m (No. 10), with a = 6.8673 Å, b = 3.9277 Å, c = 7.1650 Å, α = 90.00°, β = 94.00° and γ = 90.00°. The inequivalent atoms are Na at (0.0000, 0.0000, 0.0000), Mn at (0.0000, 0.5000, 0.5000), Br at (0.2152, 0.5000, 0.7853) and Br at (0.2157, 0.0000, 0.3679).

As for the distance to the lowest polymorph of the same formula: 0.020 eV/atom. The value obtained for the uncorrected formation energy is -0.926 eV per atom.

***

Table of Fermi-level density of states (states/eV/cell), in record order: 14.610 8.796 39.263 1.183
Table of magnetic moment (μB/cell), in record order: 28.71 0.00 20.51 4.00